[1]
AcAgSn2 | GGA-PBE | optimized geometry

As for the calculated total energy: -4.128 eV/atom. Its polymorph energy (0 for the lowest one) is 0.105 eV/atom. The calculation puts the total magnetic moment at 0.00 μB/cell. For the volume, the calculation gives 28.3 A^3/atom.

```
4
Lattice="4.830 0.000 0.000 0.000 4.830 0.000 0.000 0.000 4.851" Properties=species:S:1:pos:R:3 pbc="T T T"
Ac 0.000 0.000 0.000
Ag 2.415 2.415 0.000
Sn 0.000 2.415 2.426
Sn 2.415 0.000 2.426
```

[2]
AcAg6Sn6 | GGA-PBE | optimized geometry

As for the calculated total energy: -3.623 eV/atom. The calculation puts the total magnetic moment at 0.00 μB/cell. For the volume, the calculation gives 23.3 A^3/atom.

```
13
Lattice="-3.003 4.882 5.170 3.003 -4.882 5.170 3.003 4.882 -5.170" Properties=species:S:1:pos:R:3 pbc="T T T"
Ac 0.000 0.000 0.000
Ag 1.501 2.441 -2.585
Ag 1.501 -2.441 2.585
Ag 3.003 2.354 0.000
Ag -1.501 2.441 2.585
Ag 1.501 2.441 2.585
Ag 0.000 2.528 5.170
Sn 3.003 0.000 1.801
Sn 0.000 0.000 3.535
Sn 0.000 3.404 0.000
Sn 0.000 6.360 0.000
Sn 0.000 0.000 6.804
Sn 0.000 4.882 3.368
```

[3]
Ac3Ag7Sn4 | GGA-PBE | optimized geometry

As for the calculated total energy: -3.847 eV/atom. The calculation puts the total magnetic moment at 0.00 μB/cell. For the volume, the calculation gives 25.2 A^3/atom.

```
14
Lattice="8.738 -2.420 0.000 8.738 2.420 0.000 -5.984 0.000 8.333" Properties=species:S:1:pos:R:3 pbc="T T T"
Ac 0.000 0.000 0.000
Ac 3.497 0.000 2.461
Ac 7.994 0.000 5.871
Ag -2.992 0.000 4.166
Ag -2.775 0.000 7.181
Ag 1.735 0.000 5.774
Ag 6.853 0.000 2.593
Ag 4.638 0.000 5.740
Ag 9.756 0.000 2.559
Ag 14.266 0.000 1.151
Sn -0.214 0.000 3.459
Sn 0.155 0.000 8.125
Sn 11.337 0.000 0.208
Sn 11.705 0.000 4.874
```

[4]
AcAg4Sn2 | GGA-PBE | optimized geometry

As for the calculated total energy: -3.225 eV/atom. Its polymorph energy (0 for the lowest one) is 0.391 eV/atom. The calculation puts the total magnetic moment at 0.00 μB/cell. For the volume, the calculation gives 29.9 A^3/atom.

```
7
Lattice="-4.105 4.105 3.108 4.105 -4.105 3.108 4.105 4.105 -3.108" Properties=species:S:1:pos:R:3 pbc="T T T"
Ac 0.000 0.000 0.000
Ag 4.105 2.227 0.000
Ag 2.227 4.105 0.000
Ag 1.879 0.000 3.108
Ag 0.000 1.879 3.108
Sn 4.105 0.000 1.554
Sn 0.000 4.105 1.554
```

[5]
AcAg3Sn3 | GGA-PBE | optimized geometry

As for the calculated total energy: -3.405 eV/atom. Its polymorph energy (0 for the lowest one) is 0.207 eV/atom. The calculation puts the total magnetic moment at 0.00 μB/cell. For the volume, the calculation gives 30.7 A^3/atom.

```
14
Lattice="7.550 0.000 0.000 0.000 7.550 0.000 0.000 0.000 7.550" Properties=species:S:1:pos:R:3 pbc="T T T"
Ac 0.000 0.000 0.000
Ac 3.775 3.775 3.775
Ag 0.000 1.888 3.775
Ag 0.000 5.663 3.775
Ag 1.888 3.775 0.000
Ag 3.775 0.000 1.888
Ag 3.775 0.000 5.663
Ag 5.663 3.775 0.000
Sn 0.000 3.775 1.888
Sn 0.000 3.775 5.663
Sn 1.888 0.000 3.775
Sn 3.775 1.888 0.000
Sn 3.775 5.663 0.000
Sn 5.663 0.000 3.775
```

[6]
Ac5Ag2Sn5 | GGA-PBE | optimized geometry

As for the calculated total energy: -4.334 eV/atom. Its polymorph energy (0 for the lowest one) is 0.138 eV/atom. The calculation puts the total magnetic moment at 0.00 μB/cell. For the volume, the calculation gives 32.3 A^3/atom.

```
12
Lattice="6.542 -2.442 0.000 6.542 2.442 0.000 -4.847 0.000 12.112" Properties=species:S:1:pos:R:3 pbc="T T T"
Ac 0.000 0.000 0.000
Ac 2.033 0.000 6.119
Ac 3.862 0.000 2.770
Ac 4.375 0.000 9.341
Ac 6.204 0.000 5.992
Ag 0.311 0.000 8.899
Ag 7.926 0.000 3.212
Sn -2.423 0.000 6.056
Sn -0.133 0.000 3.441
Sn -0.830 0.000 11.517
Sn 9.068 0.000 0.595
Sn 8.370 0.000 8.671
```

[7]
Ac3Ag2Sn4 | GGA-PBE | optimized geometry

As for the calculated total energy: -4.387 eV/atom. The calculation puts the total magnetic moment at 0.00 μB/cell. For the volume, the calculation gives 30.4 A^3/atom.

```
9
Lattice="6.145 -2.441 0.000 6.145 2.441 0.000 -2.333 0.000 9.132" Properties=species:S:1:pos:R:3 pbc="T T T"
Ac 0.000 0.000 0.000
Ac 3.393 0.000 3.020
Ac 6.565 0.000 6.112
Ag 3.096 0.000 6.517
Ag 6.862 0.000 2.615
Sn -0.103 0.000 3.567
Sn 1.362 0.000 8.638
Sn 8.595 0.000 0.494
Sn 10.061 0.000 5.565
```

[8]
Ac2Ag3Sn | GGA-PBE | optimized geometry

As for the calculated total energy: -3.882 eV/atom. Its polymorph energy (0 for the lowest one) is 0.000 eV/atom. The calculation puts the total magnetic moment at 0.00 μB/cell. For the volume, the calculation gives 28.6 A^3/atom.

```
12
Lattice="0.000 4.910 8.493 4.116 0.000 8.493 4.116 4.910 0.000" Properties=species:S:1:pos:R:3 pbc="T T T"
Ac 6.261 4.910 8.493
Ac 2.058 2.455 4.247
Ac 6.174 7.365 12.740
Ac 1.971 4.910 8.493
Ag 4.116 4.910 2.833
Ag 4.116 2.449 7.085
Ag 4.116 2.449 9.901
Ag 4.116 7.370 7.085
Ag 4.116 7.370 9.901
Ag 4.116 4.910 14.154
Sn 4.116 4.910 5.698
Sn 4.116 4.910 11.288
```

[9]
Ac2Ag5Sn3 | GGA-PBE | optimized geometry

As for the calculated total energy: -3.821 eV/atom. The calculation puts the total magnetic moment at 0.00 μB/cell. For the volume, the calculation gives 25.6 A^3/atom.

```
20
Lattice="-5.790 6.552 3.368 5.790 -6.552 3.368 5.790 6.552 -3.368" Properties=species:S:1:pos:R:3 pbc="T T T"
Ac 2.774 1.623 0.000
Ac 2.774 -1.623 3.368
Ac 3.016 8.175 0.000
Ac 3.016 4.929 3.368
Ag 5.790 -3.129 1.684
Ag 7.420 1.551 0.000
Ag 0.000 0.000 1.684
Ag 1.629 5.001 0.000
Ag 5.790 3.129 1.684
Ag 0.000 3.423 1.684
Ag 4.161 1.551 3.368
Ag 0.000 0.000 5.052
Ag -1.629 5.001 3.368
Ag 0.000 9.681 1.684
Sn 4.315 -4.803 3.368
Sn 5.790 0.000 1.684
Sn 4.315 4.803 0.000
Sn 1.476 1.749 3.368
Sn 0.000 6.552 1.684
Sn 1.476 11.355 0.000
```

[10]
AcAgSn2 | GGA-PBE | optimized geometry

As for the calculated total energy: -3.977 eV/atom. Its polymorph energy (0 for the lowest one) is 0.256 eV/atom. The calculation puts the total magnetic moment at 0.00 μB/cell. For the volume, the calculation gives 27.8 A^3/atom.

```
4
Lattice="3.840 0.000 0.000 0.000 3.840 0.000 0.000 0.000 7.544" Properties=species:S:1:pos:R:3 pbc="T T T"
Ac 0.000 0.000 0.000
Ag 0.000 0.000 3.772
Sn 1.920 1.920 2.291
Sn 1.920 1.920 5.252
```

[11]
AcAg2Sn | GGA-PBE | optimized geometry

As for the calculated total energy: -3.647 eV/atom. Its polymorph energy (0 for the lowest one) is 0.204 eV/atom. The calculation puts the total magnetic moment at 0.00 μB/cell. For the volume, the calculation gives 26.8 A^3/atom.

```
4
Lattice="4.902 0.000 0.000 0.000 4.902 0.000 0.000 0.000 4.466" Properties=species:S:1:pos:R:3 pbc="T T T"
Ac 0.000 0.000 0.000
Ag 0.000 2.451 2.233
Ag 2.451 0.000 2.233
Sn 2.451 2.451 0.000
```

[12]
Ac2Ag6Sn | GGA-PBE | optimized geometry

As for the calculated total energy: -3.515 eV/atom. The calculation puts the total magnetic moment at 0.00 μB/cell. For the volume, the calculation gives 24.3 A^3/atom.

```
9
Lattice="6.246 0.000 0.000 -3.123 5.409 0.000 0.000 0.000 6.480" Properties=species:S:1:pos:R:3 pbc="T T T"
Ac 0.000 3.606 2.210
Ac 3.123 1.803 4.270
Ag 0.000 1.947 5.438
Ag -1.437 4.436 5.438
Ag 1.686 0.973 1.042
Ag 1.437 4.436 5.438
Ag 4.560 0.973 1.042
Ag 3.123 3.463 1.042
Sn 0.000 0.000 3.240
```

[13]
Ac3Ag2Sn3 | GGA-PBE | optimized geometry

As for the calculated total energy: -4.347 eV/atom. The calculation puts the total magnetic moment at 1.46 μB/cell. For the volume, the calculation gives 30.2 A^3/atom.

```
16
Lattice="2.463 -5.988 0.000 2.463 5.988 0.000 0.000 0.000 16.400" Properties=species:S:1:pos:R:3 pbc="T T T"
Ac 2.463 4.909 10.005
Ac 2.463 4.909 14.595
Ac 2.463 1.574 12.300
Ac 2.463 -1.574 4.100
Ac 2.463 -4.909 1.805
Ac 2.463 -4.909 6.395
Ag 2.463 3.507 1.588
Ag 2.463 3.507 6.612
Ag 2.463 -3.507 9.788
Ag 2.463 -3.507 14.812
Sn 2.463 1.959 4.100
Sn 2.463 1.366 8.859
Sn 2.463 1.366 15.741
Sn 2.463 -1.366 0.659
Sn 2.463 -1.366 7.541
Sn 2.463 -1.959 12.300
```

[14]
AcAgSn | GGA-PBE | optimized geometry

As for the calculated total energy: -4.259 eV/atom. Its polymorph energy (0 for the lowest one) is 0.000 eV/atom. The calculation puts the total magnetic moment at 0.00 μB/cell. For the volume, the calculation gives 29.6 A^3/atom.

```
6
Lattice="4.880 0.000 0.000 -2.440 4.227 0.000 0.000 0.000 8.599" Properties=species:S:1:pos:R:3 pbc="T T T"
Ac 0.000 0.000 0.000
Ac 0.000 0.000 4.299
Ag 0.000 2.818 2.150
Ag 2.440 1.409 6.449
Sn 0.000 2.818 6.449
Sn 2.440 1.409 2.150
```

[15]
Ac3Ag3Sn | GGA-PBE | optimized geometry

As for the calculated total energy: -3.922 eV/atom. The calculation puts the total magnetic moment at 0.00 μB/cell. For the volume, the calculation gives 31.0 A^3/atom.

```
14
Lattice="5.929 -2.355 0.000 5.929 2.355 0.000 -5.382 0.000 15.551" Properties=species:S:1:pos:R:3 pbc="T T T"
Ac -1.609 0.000 6.056
Ac -3.737 0.000 14.336
Ac 1.701 0.000 3.557
Ac 4.776 0.000 11.994
Ac 10.214 0.000 1.215
Ac 8.086 0.000 9.495
Ag 1.923 0.000 7.157
Ag -0.336 0.000 14.365
Ag 1.416 0.000 11.993
Ag 5.061 0.000 3.558
Ag 6.813 0.000 1.186
Ag 4.553 0.000 8.394
Sn -0.300 0.000 9.535
Sn 6.777 0.000 6.016
```

[16]
Ac2AgSn2 | GGA-PBE | optimized geometry

As for the calculated total energy: -4.434 eV/atom. The calculation puts the total magnetic moment at 1.26 μB/cell. For the volume, the calculation gives 31.3 A^3/atom.

```
10
Lattice="6.022 -2.478 0.000 6.022 2.478 0.000 -5.579 0.000 10.488" Properties=species:S:1:pos:R:3 pbc="T T T"
Ac -1.677 0.000 3.497
Ac 1.670 0.000 1.087
Ac 4.795 0.000 9.401
Ac 8.142 0.000 6.991
Ag -0.306 0.000 6.844
Ag 6.772 0.000 3.644
Sn 1.857 0.000 4.562
Sn 5.133 0.000 1.239
Sn 1.332 0.000 9.249
Sn 4.608 0.000 5.926
```

[17]
AcAgSn2 | GGA-PBE | optimized geometry

As for the calculated total energy: -4.046 eV/atom. Its polymorph energy (0 for the lowest one) is 0.187 eV/atom. The calculation puts the total magnetic moment at 0.00 μB/cell. For the volume, the calculation gives 28.9 A^3/atom.

```
4
Lattice="3.163 -5.116 0.000 3.163 5.116 0.000 0.000 0.000 3.570" Properties=species:S:1:pos:R:3 pbc="T T T"
Ac 0.000 0.000 0.000
Ag 3.163 0.000 1.785
Sn 1.581 2.558 1.785
Sn 1.581 -2.558 1.785
```

[18]
AcAg2Sn | GGA-PBE | optimized geometry

As for the calculated total energy: -3.851 eV/atom. Its polymorph energy (0 for the lowest one) is 0.000 eV/atom. The calculation puts the total magnetic moment at 0.00 μB/cell. For the volume, the calculation gives 26.0 A^3/atom.

```
8
Lattice="2.420 -5.840 0.000 2.420 5.840 0.000 0.000 0.000 7.344" Properties=species:S:1:pos:R:3 pbc="T T T"
Ac 2.420 4.834 5.508
Ac 2.420 -4.834 1.836
Ag 2.420 1.389 4.093
Ag 2.420 1.389 6.923
Ag 2.420 -1.389 0.421
Ag 2.420 -1.389 3.251
Sn 2.420 3.434 1.836
Sn 2.420 -3.434 5.508
```

[19]
AcAgSn | GGA-PBE | optimized geometry

As for the calculated total energy: -4.167 eV/atom. Its polymorph energy (0 for the lowest one) is 0.092 eV/atom. The calculation puts the total magnetic moment at 0.00 μB/cell. For the volume, the calculation gives 31.1 A^3/atom.

```
3
Lattice="0.000 3.599 3.599 3.599 0.000 3.599 3.599 3.599 0.000" Properties=species:S:1:pos:R:3 pbc="T T T"
Ac 0.000 0.000 0.000
Ag 5.399 5.399 5.399
Sn 3.599 3.599 3.599
```

[20]
AcAgSn | GGA-PBE | optimized geometry

As for the calculated total energy: -3.930 eV/atom. Its polymorph energy (0 for the lowest one) is 0.329 eV/atom. The calculation puts the total magnetic moment at 0.00 μB/cell. For the volume, the calculation gives 28.5 A^3/atom.

```
3
Lattice="-1.887 1.887 6.014 1.887 -1.887 6.014 1.887 1.887 -6.014" Properties=species:S:1:pos:R:3 pbc="T T T"
Ac 0.000 0.000 0.000
Ag 0.000 0.000 3.887
Sn 0.000 0.000 8.419
```

[21]
Ac4AgSn8 | GGA-PBE | optimized geometry

As for the calculated total energy: -4.499 eV/atom. The calculation puts the total magnetic moment at 0.00 μB/cell. For the volume, the calculation gives 31.5 A^3/atom.

```
13
Lattice="4.579 0.000 0.000 0.000 4.708 0.000 0.000 0.000 19.011" Properties=species:S:1:pos:R:3 pbc="T T T"
Ac 0.000 0.000 0.000
Ac 0.000 2.354 9.240
Ac 2.289 0.000 14.971
Ac 2.289 2.354 5.351
Ag 0.000 2.354 13.559
Sn 0.000 0.000 6.306
Sn 0.000 0.000 11.888
Sn 0.000 2.354 2.594
Sn 0.000 2.354 16.286
Sn 2.289 0.000 2.750
Sn 2.289 0.000 8.213
Sn 2.289 2.354 11.888
Sn 2.289 2.354 18.125
```

[22]
Ac2AgSn8 | GGA-PBE | optimized geometry

As for the calculated total energy: -4.231 eV/atom. The calculation puts the total magnetic moment at 0.00 μB/cell. For the volume, the calculation gives 29.0 A^3/atom.

```
11
Lattice="4.992 0.000 0.000 0.000 4.992 0.000 0.000 0.000 12.805" Properties=species:S:1:pos:R:3 pbc="T T T"
Ac 0.000 0.000 2.391
Ac 0.000 0.000 10.415
Ag 0.000 0.000 6.403
Sn 0.000 2.496 0.000
Sn 0.000 2.496 4.819
Sn 0.000 2.496 7.986
Sn 2.496 0.000 0.000
Sn 2.496 0.000 4.819
Sn 2.496 0.000 7.986
Sn 2.496 2.496 2.427
Sn 2.496 2.496 10.379
```

[23]
Ac3Ag4Sn | GGA-PBE | optimized geometry

As for the calculated total energy: -3.672 eV/atom. The calculation puts the total magnetic moment at 0.00 μB/cell. For the volume, the calculation gives 31.9 A^3/atom.

```
8
Lattice="-2.329 3.696 7.422 2.329 -3.696 7.422 2.329 3.696 -7.422" Properties=species:S:1:pos:R:3 pbc="T T T"
Ac 0.000 0.000 0.000
Ac 2.329 0.000 4.849
Ac 0.000 3.696 2.574
Ag 2.329 1.417 -1.891
Ag 2.329 1.417 1.891
Ag 0.000 2.280 5.532
Ag 0.000 2.280 9.313
Sn 0.000 0.000 7.422
```

Listing formation enthalpy at 0 K for the structures above in their given order: -0.3869; -0.1431; -0.3970; 0.1353; 0.1198; -0.4788; -0.6047; -0.4200; -0.3724; -0.2361; -0.1939; -0.2561; -0.5927; -0.6048; -0.3669; -0.6188; -0.3049; -0.3974; -0.5129; -0.2754; -0.5527; -0.3135; -0.2058 eV per atom.
Listing DOS(E_F) for the structures above in their given order: 1.75; 4.11; 6.21; 4.42; 8.08; 4.90; 3.81; 6.40; 8.85; 3.93; 2.87; 5.95; 10.70; 0.92; 11.76; 6.33; 2.61; 5.62; 0.68; 2.27; 6.34; 6.01; 6.15 states/eV/cell.